Entry 1:
Here is SrTe2Br at its PBEsol-relaxed geometry from the Alexandria database. Energies are from SCAN.

Properties
SG: F-43m (216)
Formation energy (no corrections) in eV per atom: -0.7603
D(E_F) in states/eV per cell: 5.39
Excess energy over the best structure of this formula in the dataset in meV/atom: 552
Energy in eV/atom: -29.82

Cell: 5.5354 5.5354 5.5354 Å, 60.00 60.00 60.00°
Atoms (fractional coordinates):
Sr (0.0000, 0.0000, 0.0000)
Te (0.2500, 0.2500, 0.2500)
Te (0.5000, 0.5000, 0.5000)
Br (0.7500, 0.7500, 0.7500)



Entry 2:
Here is NaInPd3 at its PBEsol-relaxed geometry from the Alexandria database. Energies are from SCAN.

Properties
Formation energy from the elements in eV/atom: 0.65
SG: Pm-3m (221)
D(E_F) in states/eV per cell: 1.00
Energy in eV/atom: -26.53

Cell: 4.5315 4.5315 4.5315 Å, 90.00 90.00 90.00°
Atoms (fractional coordinates):
Na (0.0000, 0.0000, 0.0000)
In (0.5000, 0.5000, 0.5000)
Pd (0.0000, 0.0000, 0.5000)
Pd (0.0000, 0.5000, 0.0000)
Pd (0.5000, 0.0000, 0.0000)



Entry 3:
Here is K2YTa at its PBEsol-relaxed geometry from the Alexandria database. Energies are from SCAN.

Properties
Formation energy from the elements in eV/atom: 1.27
SG: Pmmm (47)
D(E_F) in states/eV per cell: 3.58
Energy in eV/atom: -26.50

Cell: 3.0467 6.1658 6.6265 Å, 90.00 90.00 90.00°
Atoms (fractional coordinates):
K (0.0000, 0.2390, 0.0000)
K (0.0000, 0.7610, 0.0000)
Y (0.5000, 0.5000, 0.5000)
Ta (0.5000, 0.0000, 0.5000)



Entry 4:
Here is In6S7 at its PBEsol-relaxed geometry from the Alexandria database. Energies are from SCAN.

Properties
SG: P2_1/m (11)
Formation energy (no corrections) in eV per atom: -0.6327
Energy in eV/atom: -21.23

Cell: 9.0398 3.8674 17.0013 Å, 90.00 101.79 90.00°
Atoms (fractional coordinates):
In (0.0235, 0.2500, 0.1053)
In (0.0592, 0.2500, 0.6191)
In (0.1860, 0.7500, 0.3079)
In (0.3261, 0.2500, 0.9677)
In (0.3536, 0.7500, 0.5459)
In (0.4592, 0.2500, 0.7724)
In (0.5408, 0.7500, 0.2276)
In (0.6464, 0.2500, 0.4541)
In (0.6739, 0.7500, 0.0323)
In (0.8140, 0.2500, 0.6921)
In (0.9408, 0.7500, 0.3809)
In (0.9765, 0.7500, 0.8947)
S (0.1150, 0.2500, 0.8422)
S (0.1616, 0.2500, 0.4909)
S (0.1688, 0.7500, 0.0312)
S (0.2404, 0.7500, 0.6749)
S (0.2526, 0.2500, 0.2245)
S (0.4465, 0.7500, 0.4085)
S (0.4637, 0.7500, 0.9079)
S (0.5363, 0.2500, 0.0921)
S (0.5535, 0.2500, 0.5915)
S (0.7474, 0.7500, 0.7755)
S (0.7596, 0.2500, 0.3251)
S (0.8312, 0.2500, 0.9688)
S (0.8384, 0.7500, 0.5091)
S (0.8850, 0.7500, 0.1578)